1.
# CrCo2Os

CrCo2Os after structural relaxation (PBE, Alexandria via LeMat-Bulk).

## Properties
E_form = 0.099 eV per atom
energy = -69.34 eV/cell
N(E_F) = 1.369 states/eV per atom
E above lowest polymorph = 0.0877 eV per atom
calculated density = 12.71 g/cm³

Unit cell a=8.3849 b=2.5528 c=4.4547 alpha=90.00 beta=99.34 gamma=90.00
Space group Cm (No. 8)
Symmetry-distinct sites (fractional):
Cr  0.0000  0.0000  0.0000 [2 per cell]
Co  0.2429  0.5000  0.2201 [2 per cell]
Co  0.4966  0.0000  0.4726 [2 per cell]
Os  0.2452  0.0000  0.7167 [2 per cell]

=====

2.
# BeSi2W

BeSi2W after structural relaxation (PBE, Alexandria via LeMat-Bulk).

## Properties
formation energy without anion corrections = 0.151 eV per atom
energy = -26.92 eV/cell
N(E_F) = 0.314 states/eV per atom
calculated density = 7.96 g/cm³

Unit cell a=2.6660 b=4.2191 c=4.6173 alpha=90.00 beta=90.08 gamma=90.00
Space group Pm (No. 6)
Symmetry-distinct sites (fractional):
Be  0.0000  0.0000  0.0000 [1 per cell]
Si  0.0018  0.5000  0.2318 [1 per cell]
Si  0.0039  0.0000  0.5111 [1 per cell]
W  0.4994  0.5000  0.7444 [1 per cell]

=====

3.
# CeNdSe2

CeNdSe2 after structural relaxation (PBE, Alexandria via LeMat-Bulk).

## Properties
formation energy without anion corrections = -1.815 eV per atom
energy = -49.86 eV/cell
N(E_F) = 1.535 states/eV per atom
E above lowest polymorph = 0.0213 eV per atom
calculated density = 6.88 g/cm³

Unit cell a=4.1485 b=4.1485 c=14.3178 alpha=90.00 beta=90.00 gamma=120.00
Space group P6_3/mmc (No. 194)
Symmetry-distinct sites (fractional):
Ce  0.0000  0.0000  0.0000 [2 per cell]
Nd  0.3333  0.6667  0.2500 [2 per cell]
Se  0.3333  0.6667  0.6229 [4 per cell]

=====

4.
# Tl5Hg3Pb3

Tl5Hg3Pb3 after structural relaxation (PBE, Alexandria via LeMat-Bulk).

## Properties
E_form = 0.072 eV per atom
energy = -23.07 eV/cell
N(E_F) = 0.443 states/eV per atom
calculated density = 10.59 g/cm³

Unit cell a=11.0736 b=11.0736 c=3.3148 alpha=90.00 beta=90.00 gamma=120.00
Space group P-62m (No. 189)
Symmetry-distinct sites (fractional):
Tl  0.0000  0.6770  0.0000 [3 per cell]
Tl  0.3333  0.6667  0.0000 [2 per cell]
Hg  0.0000  0.1628  0.0000 [3 per cell]
Pb  0.0000  0.4119  0.5000 [3 per cell]

=====

5.
# Os3Pt

Os3Pt after structural relaxation (PBE, Alexandria via LeMat-Bulk).

## Properties
E_form = 0.152 eV per atom
energy = -39.12 eV/cell
N(E_F) = 0.864 states/eV per atom
calculated density = 21.76 g/cm³

Unit cell a=2.7403 b=3.8800 c=5.4950 alpha=90.00 beta=90.00 gamma=90.00
Space group Pmmm (No. 47)
Symmetry-distinct sites (fractional):
Os  0.0000  0.0000  0.0000 [1 per cell]
Os  0.5000  0.5000  0.2404 [2 per cell]
Pt  0.0000  0.0000  0.5000 [1 per cell]

=====

6.
# Pm2YEr2

Pm2YEr2 after structural relaxation (PBE, Alexandria via LeMat-Bulk).

## Properties
E_form = 0.011 eV per atom
energy = -100.14 eV/cell
N(E_F) = 1.592 states/eV per atom
E above lowest polymorph = 0.0000 eV per atom
calculated density = 7.22 g/cm³

Unit cell a=11.9843 b=6.3083 c=9.2660 alpha=90.00 beta=110.41 gamma=90.00
Space group C2/c (No. 15)
Symmetry-distinct sites (fractional):
Pm  0.1990  0.1692  0.1499 [8 per cell]
Y  0.0000  0.1650  0.7500 [4 per cell]
Er  0.1003  0.3364  0.4498 [8 per cell]

=====

7.
# Zn2CrRe

Zn2CrRe after structural relaxation (PBE, Alexandria via LeMat-Bulk).

## Properties
E_form = 0.111 eV per atom
energy = -24.18 eV/cell
N(E_F) = 0.547 states/eV per atom
E above lowest polymorph = 0.0000 eV per atom
calculated density = 10.98 g/cm³

Unit cell a=3.0339 b=3.0339 c=6.0622 alpha=90.00 beta=90.00 gamma=90.00
Space group P4mm (No. 99)
Symmetry-distinct sites (fractional):
Zn  0.0000  0.0000  0.0000 [1 per cell]
Zn  0.5000  0.5000  0.2471 [1 per cell]
Cr  0.0000  0.0000  0.5138 [1 per cell]
Re  0.5000  0.5000  0.7126 [1 per cell]

=====

8.
# TbNdPa2Rh4

TbNdPa2Rh4 after structural relaxation (PBE, Alexandria via LeMat-Bulk).

## Properties
E_form = -0.663 eV per atom
energy = -252.39 eV/cell
N(E_F) = 0.955 states/eV per atom
calculated density = 10.99 g/cm³

Unit cell a=7.6452 b=11.0094 c=8.4472 alpha=90.00 beta=90.00 gamma=90.00
Space group Fmm2 (No. 42)
Symmetry-distinct sites (fractional):
Tb  0.0000  0.0000  0.0000 [4 per cell]
Nd  0.0000  0.0000  0.4170 [4 per cell]
Pa  0.2500  0.2500  0.1550 [8 per cell]
Rh  0.0000  0.2346  0.8945 [8 per cell]
Rh  0.1954  0.0000  0.7038 [8 per cell]

=====

9.
# Tc2PRhO

Tc2PRhO after structural relaxation (PBE, Alexandria via LeMat-Bulk).

## Properties
formation energy without anion corrections = 1.159 eV per atom
energy = -32.66 eV/cell
N(E_F) = 0.963 states/eV per atom
calculated density = 6.51 g/cm³

Unit cell a=4.9216 b=4.9216 c=3.6406 alpha=90.00 beta=90.00 gamma=90.00
Space group P4/mmm (No. 123)
Symmetry-distinct sites (fractional):
Tc  0.0000  0.5000  0.0000 [2 per cell]
P  0.0000  0.0000  0.5000 [1 per cell]
Rh  0.5000  0.5000  0.0000 [1 per cell]
O  0.5000  0.5000  0.5000 [1 per cell]

=====

10.
# Mn2PtSe

Mn2PtSe after structural relaxation (PBE, Alexandria via LeMat-Bulk).

## Properties
formation energy without anion corrections = -0.057 eV per atom
energy = -56.19 eV/cell
N(E_F) = 0.491 states/eV per atom
calculated density = 9.60 g/cm³

Unit cell a=9.7953 b=3.1640 c=4.3059 alpha=90.00 beta=95.68 gamma=90.00
Space group Cm (No. 8)
Symmetry-distinct sites (fractional):
Mn  0.0000  0.0000  0.0000 [2 per cell]
Mn  0.2356  0.5000  0.5831 [2 per cell]
Pt  0.4706  0.0000  0.4997 [2 per cell]
Se  0.2600  0.0000  0.0713 [2 per cell]

=====

11.
# Ho10Er4Zr

Ho10Er4Zr after structural relaxation (PBE, Alexandria via LeMat-Bulk).

## Properties
E_form = 0.238 eV per atom
energy = -138.01 eV/cell
N(E_F) = 1.317 states/eV per atom
calculated density = 8.48 g/cm³

Unit cell a=11.0943 b=11.0943 c=7.6705 alpha=90.00 beta=90.00 gamma=90.00
Space group I4/mmm (No. 139)
Symmetry-distinct sites (fractional):
Ho  0.0000  0.2081  0.2121 [16 per cell]
Ho  0.0000  0.5000  0.2500 [4 per cell]
Er  0.2288  0.2288  0.5000 [8 per cell]
Zr  0.0000  0.0000  0.5000 [2 per cell]

=====

12.
# Ho2ErMg

Ho2ErMg after structural relaxation (PBE, Alexandria via LeMat-Bulk).

## Properties
E_form = -0.028 eV per atom
energy = -61.70 eV/cell
N(E_F) = 1.007 states/eV per atom
E above lowest polymorph = 0.0000 eV per atom
calculated density = 7.45 g/cm³

Unit cell a=7.0810 b=7.0897 c=9.9126 alpha=90.00 beta=110.83 gamma=90.00
Space group C2/m (No. 12)
Symmetry-distinct sites (fractional):
Ho  0.1307  0.0000  0.2616 [4 per cell]
Ho  0.2500  0.2500  0.0000 [4 per cell]
Er  0.1312  0.5000  0.2626 [4 per cell]
Mg  0.0000  0.2500  0.5000 [4 per cell]

=====

Number 5 is which compound? Os3Pt